(1)
Cs2FeBiPb after structural relaxation. Source: Alexandria via LeMat-Bulk, functional PBEsol.

As for the total energy: -2.925 eV per atom. The total magnetization comes out at 3.4 μB/f.u. The calculation puts the density at 3.826 Mg/m³. The symmetry is P4/mmm (123).

The structure in extended XYZ format:
```
5
Lattice="7.401 0.000 0.000 0.000 7.401 0.000 0.000 0.000 5.846" Properties=species:S:1:pos:R:3 pbc="T T T"
Cs 0.000 3.700 0.000
Cs 3.700 0.000 0.000
Fe 0.000 0.000 2.923
Bi 3.700 3.700 0.000
Pb 3.700 3.700 2.923
```


(2)
CsGa2Bi2 after structural relaxation. Source: Alexandria via LeMat-Bulk, functional PBEsol.

As for the total energy: -3.445 eV per atom. The total magnetization comes out at 0.0 μB/f.u. The calculation puts the density at 6.800 Mg/m³. The symmetry is I4/mmm (139).

The structure in extended XYZ format:
```
5
Lattice="-2.358 2.358 7.583 2.358 -2.358 7.583 2.358 2.358 -7.583" Properties=species:S:1:pos:R:3 pbc="T T T"
Cs 0.000 0.000 0.000
Ga 2.358 0.000 3.791
Ga 0.000 2.358 3.791
Bi 0.000 0.000 5.433
Bi 0.000 0.000 9.733
```


(3)
CsGaBi2Te after structural relaxation. Source: Alexandria via LeMat-Bulk, functional PBEsol.

As for the total energy: -3.053 eV per atom. The total magnetization comes out at 0.0 μB/f.u. The calculation puts the density at 5.955 Mg/m³. The formation energy (no corrections) is 1.1 eV per formula unit. The symmetry is P4/mmm (123).

The structure in extended XYZ format:
```
5
Lattice="5.934 0.000 0.000 0.000 5.934 0.000 0.000 0.000 5.924" Properties=species:S:1:pos:R:3 pbc="T T T"
Cs 0.000 0.000 0.000
Ga 2.967 2.967 0.000
Bi 0.000 2.967 2.962
Bi 2.967 0.000 2.962
Te 2.967 2.967 2.962
```


(4)
CsGeBiS4 after structural relaxation. Source: Alexandria via LeMat-Bulk, functional PBEsol.

As for the total energy: -4.641 eV per atom. The total magnetization comes out at 0.0 μB/f.u. The calculation puts the density at 4.608 Mg/m³. The formation energy (no corrections) is -4.8 eV per formula unit. The symmetry is P2_1/c (14).

The structure in extended XYZ format:
```
28
Lattice="6.544 0.000 0.000 0.000 6.771 0.000 -5.810 0.000 17.659" Properties=species:S:1:pos:R:3 pbc="T T T"
Cs -1.212 1.659 8.258
Cs -4.118 1.726 17.088
Cs 4.851 5.044 0.571
Cs 1.946 5.112 9.400
Ge -0.053 4.938 5.920
Ge -2.958 5.218 14.749
Ge 3.692 1.553 2.910
Ge 0.786 1.832 11.739
Bi -2.474 1.479 12.788
Bi 0.431 1.906 3.959
Bi 0.302 4.864 13.699
Bi 3.207 5.292 4.870
S -0.752 4.517 3.844
S -3.657 5.639 12.673
S -1.823 5.014 7.224
S -4.728 5.142 16.053
S -0.656 3.466 11.351
S 2.249 6.690 2.521
S -1.697 3.404 14.980
S 1.208 6.752 6.150
S -0.475 0.018 11.508
S 2.431 3.367 2.679
S -1.515 0.080 15.137
S 1.390 3.305 6.308
S 5.462 1.629 1.606
S 2.557 1.756 10.435
S 4.390 1.131 4.985
S 1.485 2.254 13.815
```